First-principles (PBE+U) data for a relaxed structure of MnNiO2, as listed in Alexandria via LeMat-Bulk.

Output
**E above lowest polymorph**: 1.23 eV per formula unit
**Electronic total energy**: -6.0081 eV/atom

Lattice parameters (Å, degrees): 5.951 3.960 5.596 67.26 54.70 74.36
Atoms (fractional coordinates):
Ni 0.355 0.815 0.503
Ni 0.699 0.584 0.998
Mn 0.456 0.234 0.852
Mn 0.948 0.825 0.207
O 0.679 0.056 0.082
O 0.078 0.514 0.939
O 0.650 0.797 0.635
O 0.256 0.741 0.239